[1]
First-principles (GGA-PBE) data for YTm2Hg after structural relaxation, as listed in Alexandria via LeMat-Bulk.

Calculated values
Energy above the most stable polymorph in this dataset (eV/atom): 0.094
Energy of formation from the pure elements (eV per formula unit): -0.6
Magnetization (μB per cell): 0.43
N(E_F) (states/eV per atom): 1.241

Lattice parameters (Å, degrees): 4.775 4.775 4.763 90.00 90.00 90.00
Space group P4/mmm (No. 123)
Inequivalent atoms, fractional coordinates:
Y1 0.000 0.000 0.000 (multiplicity 1)
Tm1 0.000 0.500 0.500 (multiplicity 2)
Hg1 0.500 0.500 0.000 (multiplicity 1)

[2]
First-principles (GGA-PBE) data for KRePt after structural relaxation, as listed in Alexandria via LeMat-Bulk.

Calculated values
Energy above the most stable polymorph in this dataset (eV/atom): 0.537
Energy of formation from the pure elements (eV per formula unit): 2.3
Magnetization (μB per cell): 0.00
N(E_F) (states/eV per atom): 1.353

Lattice parameters (Å, degrees): 2.8387 2.8387 8.1344 90.00 90.00 120.00
Space group P3m1 (No. 156)
Inequivalent atoms, fractional coordinates:
K1 0.0000 0.0000 0.0000 (multiplicity 1)
Re1 0.6667 0.3333 0.6222 (multiplicity 1)
Pt1 0.3333 0.6667 0.3554 (multiplicity 1)

[3]
First-principles (GGA-PBE) data for TbErMgSn after structural relaxation, as listed in Alexandria via LeMat-Bulk.

Calculated values
Energy of formation from the pure elements (eV per formula unit): -1.6
Magnetization (μB per cell): 0.00
N(E_F) (states/eV per atom): 0.952

Lattice parameters (Å, degrees): 7.472 7.472 7.472 90.00 90.00 90.00
Space group F-43m (No. 216)
Inequivalent atoms, fractional coordinates:
Tb1 0.000 0.000 0.000 (multiplicity 4)
Er1 0.000 0.000 0.500 (multiplicity 4)
Mg1 0.250 0.250 0.750 (multiplicity 4)
Sn1 0.250 0.250 0.250 (multiplicity 4)

[4]
First-principles (GGA-PBE) data for CaAsIr after structural relaxation, as listed in Alexandria via LeMat-Bulk.

Calculated values
Energy of formation from the pure elements (eV per formula unit): -1.8
Magnetization (μB per cell): 0.00
N(E_F) (states/eV per atom): 0.486

Lattice parameters (Å, degrees): 10.374 4.134 6.569 90.00 103.79 90.00
Space group C2/m (No. 12)
Inequivalent atoms, fractional coordinates:
Ca1 0.107 0.000 0.263 (multiplicity 4)
As1 0.175 0.000 0.745 (multiplicity 4)
Ir1 0.147 0.500 0.924 (multiplicity 4)

[5]
First-principles (GGA-PBE) data for VCo5Ni6 after structural relaxation, as listed in Alexandria via LeMat-Bulk.

Calculated values
Energy of formation from the pure elements (eV per formula unit): -0.4
Magnetization (μB per cell): 20.69
N(E_F) (states/eV per atom): 1.257

Lattice parameters (Å, degrees): 3.480 7.240 10.504 90.00 90.00 90.00
Space group Immm (No. 71)
Inequivalent atoms, fractional coordinates:
V1 0.000 0.000 0.000 (multiplicity 2)
Co1 0.000 0.000 0.334 (multiplicity 4)
Co2 0.000 0.500 0.000 (multiplicity 2)
Co3 0.000 0.500 0.334 (multiplicity 4)
Ni1 0.000 0.248 0.500 (multiplicity 4)
Ni2 0.000 0.251 0.168 (multiplicity 8)

[6]
First-principles (GGA-PBE) data for Zn2CrRh after structural relaxation, as listed in Alexandria via LeMat-Bulk.

Calculated values
Energy above the most stable polymorph in this dataset (eV/atom): 0.097
Energy of formation from the pure elements (eV per formula unit): -0.1
Magnetization (μB per cell): 0.00
N(E_F) (states/eV per atom): 0.574

Lattice parameters (Å, degrees): 2.749 3.523 5.611 90.00 90.00 90.00
Space group Pmm2 (No. 25)
Inequivalent atoms, fractional coordinates:
Zn1 0.000 0.000 0.000 (multiplicity 1)
Zn2 0.500 0.500 0.248 (multiplicity 1)
Cr1 0.000 0.000 0.513 (multiplicity 1)
Rh1 0.500 0.500 0.724 (multiplicity 1)

[7]
First-principles (GGA-PBE) data for EuTmAlHg after structural relaxation, as listed in Alexandria via LeMat-Bulk.

Calculated values
Energy of formation from the pure elements (eV per formula unit): -1.4
Magnetization (μB per cell): 28.43
N(E_F) (states/eV per atom): 1.616

Lattice parameters (Å, degrees): 7.474 7.474 7.474 90.00 90.00 90.00
Space group F-43m (No. 216)
Inequivalent atoms, fractional coordinates:
Eu1 0.000 0.000 0.000 (multiplicity 4)
Tm1 0.000 0.000 0.500 (multiplicity 4)
Al1 0.250 0.250 0.250 (multiplicity 4)
Hg1 0.250 0.250 0.750 (multiplicity 4)

[8]
First-principles (GGA-PBE) data for SrAl2W after structural relaxation, as listed in Alexandria via LeMat-Bulk.

Calculated values
Energy above the most stable polymorph in this dataset (eV/atom): 0.000
Energy of formation from the pure elements (eV per formula unit): 0.6
Magnetization (μB per cell): 0.00
N(E_F) (states/eV per atom): 0.590

Lattice parameters (Å, degrees): 2.997 3.871 7.075 90.00 90.00 90.00
Space group Pmmm (No. 47)
Inequivalent atoms, fractional coordinates:
Sr1 0.000 0.000 0.000 (multiplicity 1)
Al1 0.500 0.500 0.316 (multiplicity 2)
W1 0.000 0.000 0.500 (multiplicity 1)